Below is crystalline Ac2Pd9Au6 at its relaxed geometry, with properties calculated at the PBE-GGA level.

```
data_Ac2Pd9Au6
_chemical_formula_sum 'Ac2 Pd9 Au6'
_cell_length_a 5.5753
_cell_length_b 5.5753
_cell_length_c 13.5033
_cell_angle_alpha 90.00
_cell_angle_beta 90.00
_cell_angle_gamma 120.00
_space_group_name_H-M_alt 'P 6/m m m'
_space_group_IT_number 191
_space_group_name_Hall '-P 6 2'
loop_
_atom_site_label
_atom_site_fract_x
_atom_site_fract_y
_atom_site_fract_z
Ac1 0.0000 0.0000 0.2010
Pd1 0.0000 0.5000 0.0000
Pd2 0.0000 0.5000 0.3336
Au1 0.3333 0.6667 0.1659
Au2 0.3333 0.6667 0.5000
```

Computed properties:
energy of formation from the pure elements = -0.365 eV/atom
volume = 364 Å³ per cell